CeHoOs PBE-GGA optimized geometry; excess energy over the best structure of this formula in the dataset = 1 kJ/mol of formula units; E = -7.413 eV/atom
1.0
-2.8523 -2.7842 -2.7138
3.5084 -2.0067 2.6610
-4.1670 1.8116 6.8034
Ho Os Ce
2 2 2
direct
0.2519 0.6260 0.8778
0.7481 0.3740 0.1222
0.5073 0.7545 0.2596
0.4927 0.2455 0.7404
0.2490 0.1244 0.3735
0.7510 0.8756 0.6265

=====

CeHo2Os PBE-GGA optimized geometry; excess energy over the best structure of this formula in the dataset = 61 kJ/mol of formula units; E = -6.667 eV/atom
1.0
-0.7855 -0.1925 -3.2897
-2.5564 -2.0983 0.7332
-5.6174 7.1658 0.9218
Ho Os Ce
2 1 1
direct
0.0000 0.0000 0.8196
0.0000 0.0000 0.1804
0.5000 0.5000 0.0000
0.5000 0.5000 0.5000

=====

Ce5HoOs3 PBE-GGA optimized geometry; E = -7.626 eV/atom
1.0
-6.5805 -3.8577 1.2302
-1.2802 -4.4961 -6.1518
2.2675 -9.6448 2.4621
Ce Os Ho
10 6 2
direct
0.7681 0.7681 0.0350
0.7008 0.2992 0.0000
0.0344 0.6423 0.6671
0.2319 0.2319 0.9650
0.6423 0.0344 0.6671
0.2992 0.7008 0.0000
0.3577 0.9656 0.3329
0.5726 0.5726 0.6269
0.4274 0.4274 0.3731
0.9656 0.3577 0.3329
0.6681 0.6681 0.8334
0.0000 0.0000 0.0000
0.3319 0.3319 0.1666
0.0000 0.0000 0.5000
0.3423 0.3423 0.6690
0.6577 0.6577 0.3310
0.1064 0.1064 0.6987
0.8936 0.8936 0.3013

=====

Ce3HoOs2 PBE-GGA optimized geometry; E = -7.612 eV/atom
1.0
4.0383 0.0000 0.0000
-2.0191 8.4273 -0.1052
0.0000 -3.8628 8.4931
Os Ho Ce
4 2 6
direct
0.7586 0.5173 0.1054
0.4719 0.9438 0.8290
0.5281 0.0562 0.1710
0.2414 0.4827 0.8946
0.1099 0.2198 0.0339
0.8901 0.7802 0.9661
0.3663 0.7327 0.2672
0.0533 0.1066 0.3792
0.9467 0.8934 0.6208
0.7216 0.4432 0.3817
0.6337 0.2673 0.7328
0.2784 0.5568 0.6183

=====

CeHoOs PBE-GGA optimized geometry; excess energy over the best structure of this formula in the dataset = 2 kJ/mol of formula units; E = -7.408 eV/atom
1.0
-1.8283 2.1194 1.8617
-2.7891 -1.6901 -0.8150
3.1504 -4.1782 4.8155
Ho Os Ce
1 1 1
direct
0.2944 0.2944 0.5889
0.6668 0.6668 0.3337
0.0387 0.0387 0.0774

=====

CeHoOsPd PBE-GGA optimized geometry; E = -7.203 eV/atom
1.0
-3.6097 2.1382 -2.5639
-2.8527 -2.7044 -2.9537
-4.6947 -0.8307 1.2023
Ce Os Ho Pd
1 1 1 1
direct
0.7500 0.7500 0.7500
0.5000 0.5000 0.5000
0.2500 0.2500 0.2500
0.0000 0.0000 0.0000

=====

CeHoOsPt PBE-GGA optimized geometry; E = -7.537 eV/atom
1.0
4.9178 0.0000 0.0000
2.4589 4.2590 0.0000
2.4589 1.4197 4.0154
Os Ce Ho Pt
1 1 1 1
direct
0.2500 0.2500 0.2500
0.5000 0.5000 0.5000
0.0000 0.0000 0.0000
0.7500 0.7500 0.7500

=====

CeHoPuOs PBE-GGA optimized geometry; E = -8.909 eV/atom
1.0
-4.7249 -1.0566 -1.3740
-0.8709 -2.6198 -4.2080
-1.7067 -4.7260 0.2859
Ho Os Pu Ce
1 1 1 1
direct
0.5000 0.5000 0.5000
0.2500 0.2500 0.2500
0.7500 0.7500 0.7500
0.0000 0.0000 0.0000

=====

CeHoOsRh PBE-GGA optimized geometry; E = -7.739 eV/atom
1.0
4.8652 0.0000 0.0000
2.4326 4.2134 0.0000
2.4326 1.4045 3.9724
Os Rh Ho Ce
1 1 1 1
direct
0.7500 0.7500 0.7500
0.2500 0.2500 0.2500
0.0000 0.0000 0.0000
0.5000 0.5000 0.5000

=====

CeHoTcOs PBE-GGA optimized geometry; E = -8.101 eV/atom
1.0
-2.1999 4.2928 -0.4246
-4.7852 0.3439 0.6572
-1.7507 2.2226 3.9298
Ho Ce Tc Os
1 1 1 1
direct
0.2500 0.2500 0.2500
0.7500 0.7500 0.7500
0.5000 0.5000 0.5000
0.0000 0.0000 0.0000

=====

CeHoZnOs PBE-GGA optimized geometry; E = -5.997 eV/atom
1.0
-0.6167 -1.4788 4.6707
0.5908 -4.7578 1.1818
3.9007 -1.4128 2.6779
Os Ho Zn Ce
1 1 1 1
direct
0.5000 0.5000 0.5000
0.2500 0.2500 0.2500
0.0000 0.0000 0.0000
0.7500 0.7500 0.7500

=====

Ce2HoP3 PBE-GGA optimized geometry; E = -6.975 eV/atom
1.0
-1.0966 5.6177 0.4068
-5.7185 -1.5176 5.5419
8.2983 0.9803 8.8311
Ce P Ho
8 12 4
direct
0.2503 0.8749 0.7490
0.2503 0.3749 0.7510
0.2499 0.3735 0.0830
0.7497 0.6251 0.2490
0.7501 0.6265 0.9170
0.2499 0.8735 0.4170
0.7497 0.1251 0.2510
0.7501 0.1265 0.5830
0.2501 0.6281 0.9181
0.7503 0.8751 0.7497
0.7499 0.8775 0.0826
0.7503 0.3751 0.7503
0.7499 0.3719 0.0819
0.2501 0.6225 0.5826
0.7499 0.3775 0.4174
0.2501 0.1281 0.5819
0.7499 0.8719 0.4181
0.2497 0.1249 0.2503
0.2497 0.6249 0.2497
0.2501 0.1225 0.9174
0.2499 0.3765 0.4163
0.7501 0.1235 0.9163
0.2499 0.8765 0.0837
0.7501 0.6235 0.5837

=====

So what do the calculations give for calculated volume? Going down the list: 155.5; 105.0; 532.7; 287.4; 75.7; 84.1; 84.1; 90.1; 81.4; 80.3; 85.1; 565.5 Å³/cell.
So what do the calculations give for magnetization? Going down the list: 0.47; 1.35; 2.80; 0.00; 0.73; 0.50; 0.35; 6.95; 0.06; 0.00; 0.00; 1.10 μB per formula unit.